{
  "formula": "PuHf2Au",
  "functional": "PBE",
  "state": "relaxed",
  "de_polymorph_ev_per_atom": 0.125,
  "final_energy_ev_per_cell": -37.72,
  "formation_energy_kj_per_mol_atoms": -5.04,
  "lattice": [[3.249, 0.000, 0.000], [1.625, 2.814, 0.000], [1.625, 0.938, 9.593]],
  "species": ["Au", "Hf", "Hf", "Pu"],
  "fractional_positions": [[0.000, 0.000, 0.000], [0.255, 0.255, 0.234], [0.745, 0.745, 0.766], [0.500, 0.500, 0.500]]
}

{
  "formula": "Tl2In3",
  "functional": "PBE",
  "state": "relaxed",
  "de_polymorph_ev_per_atom": 0.121,
  "final_energy_ev_per_cell": -24.56,
  "formation_energy_kj_per_mol_atoms": 12.89,
  "lattice": [[8.686, 0.000, 0.000], [4.343, 7.522, 0.000], [4.343, 2.507, 4.745]],
  "species": ["Tl", "Tl", "Tl", "Tl", "In", "In", "In", "In", "In", "In"],
  "fractional_positions": [[0.613, 0.613, 0.162], [0.387, 0.387, 0.838], [0.887, 0.887, 0.338], [0.113, 0.113, 0.662], [0.456, 0.044, 0.750], [0.956, 0.250, 0.250], [0.750, 0.456, 0.750], [0.544, 0.956, 0.250], [0.044, 0.750, 0.750], [0.250, 0.544, 0.250]]
}

Repeat the first record exactly.
{
  "formula": "PuHf2Au",
  "functional": "PBE",
  "state": "relaxed",
  "de_polymorph_ev_per_atom": 0.125,
  "final_energy_ev_per_cell": -37.72,
  "formation_energy_kj_per_mol_atoms": -5.04,
  "lattice": [[3.249, 0.000, 0.000], [1.625, 2.814, 0.000], [1.625, 0.938, 9.593]],
  "species": ["Au", "Hf", "Hf", "Pu"],
  "fractional_positions": [[0.000, 0.000, 0.000], [0.255, 0.255, 0.234], [0.745, 0.745, 0.766], [0.500, 0.500, 0.500]]
}